Entry 1:
Computed, not measured: an optimized crystal structure of LaTiPdRh2 at the PBE-GGA level of DFT.

a = 4.855 Å, b = 5.115 Å, c = 4.855 Å
α = 90.00°, β = 90.00°, γ = 90.00°
Positions (direct):
Ti (0.500, 0.500, 0.500)
Rh (0.000, 0.000, 0.500)
Rh (0.500, 0.000, 0.000)
Pd (0.000, 0.500, 0.000)
La (0.000, 0.000, 0.000)

Properties
Space-group type ... P4/mmm (123)
Raw total energy ... -5.569 eV per atom
Energy of formation from the pure elements ... 0.97 eV/atom
DOS at the Fermi energy ... 10.99 states/eV per cell
Total magnetization ... 0.00 μB/cell

Entry 2:
Computed, not measured: an optimized crystal structure of Ba4Nb3CuO12 at the PBE-GGA level of DFT.

a = 7.228 Å, b = 7.228 Å, c = 7.228 Å
α = 109.47°, β = 109.47°, γ = 109.47°
Positions (direct):
Ba (0.500, 0.500, 0.500)
Ba (0.000, 0.000, 0.500)
Ba (0.500, 0.000, 0.000)
Ba (0.000, 0.500, 0.000)
Nb (0.500, 0.000, 0.500)
Nb (0.500, 0.500, 0.000)
Nb (0.000, 0.500, 0.500)
Cu (0.000, 0.000, 0.000)
O (0.250, 0.500, 0.750)
O (0.733, 0.000, 0.733)
O (0.267, 0.000, 0.267)
O (0.750, 0.500, 0.250)
O (0.733, 0.733, 0.000)
O (0.267, 0.267, 0.000)
O (0.750, 0.250, 0.500)
O (0.250, 0.750, 0.500)
O (0.500, 0.250, 0.750)
O (0.000, 0.733, 0.733)
O (0.500, 0.750, 0.250)
O (0.000, 0.267, 0.267)

Properties
Space-group type ... Im-3m (229)
Raw total energy ... -7.662 eV per atom
DOS at the Fermi energy ... 4.56 states/eV per cell
Total magnetization ... 0.00 μB/cell

Entry 3:
Computed, not measured: an optimized crystal structure of Y2NiTe at the PBE-GGA level of DFT.

a = 3.673 Å, b = 3.693 Å, c = 7.641 Å
α = 67.60°, β = 90.00°, γ = 90.00°
Positions (direct):
Ni (0.500, 0.250, 0.250)
Te (0.500, 0.750, 0.750)
Y (0.000, 0.031, 0.026)
Y (0.000, 0.469, 0.474)

Properties
Space-group type ... P2/m (10)
Raw total energy ... -6.113 eV per atom
DOS at the Fermi energy ... 2.84 states/eV per cell
Total magnetization ... 0.00 μB/cell